(one)
The following is a PBE calculation of a relaxed AcGaAs2 crystal, from Alexandria via LeMat-Bulk.

Computed properties:
Theoretical density = 7.5 g/cm3
N(E_F) = 0.291 states/eV/atom

CIF file:
```
data_AcGaAs2
_chemical_formula_sum 'Ac1 Ga1 As2'
_cell_length_a 3.9905
_cell_length_b 3.9905
_cell_length_c 6.2075
_cell_angle_alpha 90.00
_cell_angle_beta 90.00
_cell_angle_gamma 90.00
_space_group_name_H-M_alt 'P 1'
_space_group_IT_number 1
loop_
_space_group_symop_operation_xyz
'x,y,z'
loop_
_atom_site_label
_atom_site_type_symbol
_atom_site_fract_x
_atom_site_fract_y
_atom_site_fract_z
As1 As 0.0000 0.0000 0.7914
Ac1 Ac 0.5000 0.5000 0.5000
As2 As 0.0000 0.0000 0.2086
Ga1 Ga 0.5000 0.5000 0.0000
```

---

(two)
The following is a PBE calculation of a relaxed AcGaAs2 crystal, from Alexandria via LeMat-Bulk.

Computed properties:
Theoretical density = 7.6 g/cm3
N(E_F) = 0.483 states/eV/atom

CIF file:
```
data_AcGaAs2
_chemical_formula_sum 'Ac1 Ga1 As2'
_cell_length_a 4.2971
_cell_length_b 4.7656
_cell_length_c 4.7656
_cell_angle_alpha 90.00
_cell_angle_beta 90.00
_cell_angle_gamma 90.00
_space_group_name_H-M_alt 'P 1'
_space_group_IT_number 1
loop_
_space_group_symop_operation_xyz
'x,y,z'
loop_
_atom_site_label
_atom_site_type_symbol
_atom_site_fract_x
_atom_site_fract_y
_atom_site_fract_z
Ac1 Ac 0.5000 0.0000 0.0000
As1 As 0.0000 0.5000 0.0000
As2 As 0.0000 0.0000 0.5000
Ga1 Ga 0.5000 0.5000 0.5000
```

---

Which one sits at the bottom of the stability order? (one) does.

---

(one)
The following is a PBE calculation of a relaxed AcGaAs2 crystal, from Alexandria via LeMat-Bulk.

Computed properties:
Theoretical density = 7.1 g/cm3
N(E_F) = 0.281 states/eV/atom

CIF file:
```
data_AcGaAs2
_chemical_formula_sum 'Ac1 Ga1 As2'
_cell_length_a 4.3178
_cell_length_b 4.3178
_cell_length_c 6.9278
_cell_angle_alpha 71.84
_cell_angle_beta 71.84
_cell_angle_gamma 60.00
_space_group_name_H-M_alt 'P 1'
_space_group_IT_number 1
loop_
_space_group_symop_operation_xyz
'x,y,z'
loop_
_atom_site_label
_atom_site_type_symbol
_atom_site_fract_x
_atom_site_fract_y
_atom_site_fract_z
Ga1 Ga 0.0000 0.0000 0.0000
As1 As 0.7348 0.7348 0.7957
Ac1 Ac 0.5000 0.5000 0.5000
As2 As 0.2652 0.2652 0.2043
```

---

(two)
The following is a PBE calculation of a relaxed AcGaAs2 crystal, from Alexandria via LeMat-Bulk.

Computed properties:
Theoretical density = 7.4 g/cm3
N(E_F) = 1.164 states/eV/atom

CIF file:
```
data_AcGaAs2
_chemical_formula_sum 'Ac1 Ga1 As2'
_cell_length_a 5.2249
_cell_length_b 5.2249
_cell_length_c 5.2249
_cell_angle_alpha 60.00
_cell_angle_beta 60.00
_cell_angle_gamma 60.00
_space_group_name_H-M_alt 'P 1'
_space_group_IT_number 1
loop_
_space_group_symop_operation_xyz
'x,y,z'
loop_
_atom_site_label
_atom_site_type_symbol
_atom_site_fract_x
_atom_site_fract_y
_atom_site_fract_z
Ga1 Ga 0.5000 0.5000 0.5000
As1 As 0.2500 0.2500 0.2500
Ac1 Ac 0.0000 0.0000 0.0000
As2 As 0.7500 0.7500 0.7500
```

---

Which one sits at the bottom of the stability order? (two) does.

---

(one)
The following is a PBE calculation of a relaxed AcGdAs crystal, from Alexandria via LeMat-Bulk.

Computed properties:
Theoretical density = 8.0 g/cm3
N(E_F) = 1.347 states/eV/atom

CIF file:
```
data_AcGdAs
_chemical_formula_sum 'Ac1 Gd1 As1'
_cell_length_a 4.5267
_cell_length_b 4.9235
_cell_length_c 4.9235
_cell_angle_alpha 120.00
_cell_angle_beta 90.00
_cell_angle_gamma 90.00
_space_group_name_H-M_alt 'P 1'
_space_group_IT_number 1
loop_
_space_group_symop_operation_xyz
'x,y,z'
loop_
_atom_site_label
_atom_site_type_symbol
_atom_site_fract_x
_atom_site_fract_y
_atom_site_fract_z
Ac1 Ac 0.6781 0.6667 0.3333
Gd1 Gd 0.1769 0.3333 0.6667
As1 As 0.1451 0.0000 0.0000
```

---

(two)
The following is a PBE calculation of a relaxed AcGdAs crystal, from Alexandria via LeMat-Bulk.

Computed properties:
Theoretical density = 8.3 g/cm3
N(E_F) = 0.923 states/eV/atom

CIF file:
```
data_AcGdAs
_chemical_formula_sum 'Ac1 Gd1 As1'
_cell_length_a 3.9136
_cell_length_b 3.9136
_cell_length_c 6.6208
_cell_angle_alpha 107.19
_cell_angle_beta 107.19
_cell_angle_gamma 90.00
_space_group_name_H-M_alt 'P 1'
_space_group_IT_number 1
loop_
_space_group_symop_operation_xyz
'x,y,z'
loop_
_atom_site_label
_atom_site_type_symbol
_atom_site_fract_x
_atom_site_fract_y
_atom_site_fract_z
Ac1 Ac 0.0131 0.0131 0.0262
Gd1 Gd 0.2919 0.2919 0.5837
As1 As 0.6950 0.6950 0.3900
```

---

Which one sits at the bottom of the stability order? (one) does.

---

(one)
The following is a PBE calculation of a relaxed AcGeAs2 crystal, from Alexandria via LeMat-Bulk.

Computed properties:
Theoretical density = 7.4 g/cm3
N(E_F) = 0.903 states/eV/atom

CIF file:
```
data_AcGeAs2
_chemical_formula_sum 'Ac1 Ge1 As2'
_cell_length_a 5.2161
_cell_length_b 5.2161
_cell_length_c 5.2161
_cell_angle_alpha 60.00
_cell_angle_beta 60.00
_cell_angle_gamma 60.00
_space_group_name_H-M_alt 'P 1'
_space_group_IT_number 1
loop_
_space_group_symop_operation_xyz
'x,y,z'
loop_
_atom_site_label
_atom_site_type_symbol
_atom_site_fract_x
_atom_site_fract_y
_atom_site_fract_z
Ge1 Ge 0.5000 0.5000 0.5000
As1 As 0.7500 0.7500 0.7500
As2 As 0.2500 0.2500 0.2500
Ac1 Ac 0.0000 0.0000 0.0000
```

---

(two)
The following is a PBE calculation of a relaxed AcGeAs2 crystal, from Alexandria via LeMat-Bulk.

Computed properties:
Theoretical density = 4.8 g/cm3
N(E_F) = 0.900 states/eV/atom

CIF file:
```
data_AcGeAs2
_chemical_formula_sum 'Ac1 Ge1 As2'
_cell_length_a 4.8881
_cell_length_b 4.8881
_cell_length_c 8.0465
_cell_angle_alpha 72.32
_cell_angle_beta 72.32
_cell_angle_gamma 60.00
_space_group_name_H-M_alt 'P 1'
_space_group_IT_number 1
loop_
_space_group_symop_operation_xyz
'x,y,z'
loop_
_atom_site_label
_atom_site_type_symbol
_atom_site_fract_x
_atom_site_fract_y
_atom_site_fract_z
Ac1 Ac 0.5000 0.5000 0.5000
As1 As 0.1033 0.1033 0.6902
As2 As 0.8967 0.8967 0.3098
Ge1 Ge 0.0000 0.0000 0.0000
```

---

(three)
The following is a PBE calculation of a relaxed AcGeAs2 crystal, from Alexandria via LeMat-Bulk.

Computed properties:
Theoretical density = 7.7 g/cm3
N(E_F) = 0.754 states/eV/atom

CIF file:
```
data_AcGeAs2
_chemical_formula_sum 'Ac1 Ge1 As2'
_cell_length_a 4.2480
_cell_length_b 4.7772
_cell_length_c 4.7772
_cell_angle_alpha 90.00
_cell_angle_beta 90.00
_cell_angle_gamma 90.00
_space_group_name_H-M_alt 'P 1'
_space_group_IT_number 1
loop_
_space_group_symop_operation_xyz
'x,y,z'
loop_
_atom_site_label
_atom_site_type_symbol
_atom_site_fract_x
_atom_site_fract_y
_atom_site_fract_z
Ac1 Ac 0.5000 0.0000 0.0000
Ge1 Ge 0.5000 0.5000 0.5000
As1 As 0.0000 0.5000 0.0000
As2 As 0.0000 0.0000 0.5000
```

---

Which one sits at the bottom of the stability order? (two) does.

---

(one)
The following is a PBE calculation of a relaxed Ac2GeAs crystal, from Alexandria via LeMat-Bulk.

Computed properties:
Theoretical density = 8.5 g/cm3
N(E_F) = 0.499 states/eV/atom

CIF file:
```
data_Ac2GeAs
_chemical_formula_sum 'Ac2 Ge1 As1'
_cell_length_a 3.8164
_cell_length_b 3.8164
_cell_length_c 8.0873
_cell_angle_alpha 90.00
_cell_angle_beta 90.00
_cell_angle_gamma 90.00
_space_group_name_H-M_alt 'P 1'
_space_group_IT_number 1
loop_
_space_group_symop_operation_xyz
'x,y,z'
loop_
_atom_site_label
_atom_site_type_symbol
_atom_site_fract_x
_atom_site_fract_y
_atom_site_fract_z
Ge1 Ge 0.5000 0.5000 0.0000
Ac1 Ac 0.0000 0.0000 0.7350
Ac2 Ac 0.0000 0.0000 0.2650
As1 As 0.5000 0.5000 0.5000
```

---

(two)
The following is a PBE calculation of a relaxed Ac2GeAs crystal, from Alexandria via LeMat-Bulk.

Computed properties:
Theoretical density = 7.7 g/cm3
N(E_F) = 0.566 states/eV/atom

CIF file:
```
data_Ac2GeAs
_chemical_formula_sum 'Ac4 Ge2 As2'
_cell_length_a 4.4070
_cell_length_b 4.6445
_cell_length_c 12.8274
_cell_angle_alpha 100.43
_cell_angle_beta 90.00
_cell_angle_gamma 90.00
_space_group_name_H-M_alt 'P 1'
_space_group_IT_number 1
loop_
_space_group_symop_operation_xyz
'x,y,z'
loop_
_atom_site_label
_atom_site_type_symbol
_atom_site_fract_x
_atom_site_fract_y
_atom_site_fract_z
Ac1 Ac 0.7500 0.9342 0.8684
As1 As 0.2500 0.1878 0.3757
As2 As 0.7500 0.8122 0.6243
Ge1 Ge 0.2500 0.4651 0.9301
Ac2 Ac 0.2500 0.3122 0.6244
Ac3 Ac 0.7500 0.6878 0.3756
Ge2 Ge 0.7500 0.5349 0.0699
Ac4 Ac 0.2500 0.0658 0.1316
```

---

(three)
The following is a PBE calculation of a relaxed Ac2GeAs crystal, from Alexandria via LeMat-Bulk.

Computed properties:
Theoretical density = 7.4 g/cm3
N(E_F) = 0.751 states/eV/atom

CIF file:
```
data_Ac2GeAs
_chemical_formula_sum 'Ac2 Ge1 As1'
_cell_length_a 4.4907
_cell_length_b 4.4907
_cell_length_c 8.1785
_cell_angle_alpha 74.07
_cell_angle_beta 74.07
_cell_angle_gamma 60.00
_space_group_name_H-M_alt 'P 1'
_space_group_IT_number 1
loop_
_space_group_symop_operation_xyz
'x,y,z'
loop_
_atom_site_label
_atom_site_type_symbol
_atom_site_fract_x
_atom_site_fract_y
_atom_site_fract_z
Ac1 Ac 0.2471 0.2471 0.2587
As1 As 0.5000 0.5000 0.5000
Ge1 Ge 0.0000 0.0000 0.0000
Ac2 Ac 0.7529 0.7529 0.7413
```

---

Which one sits at the bottom of the stability order? (one) does.

---

(one)
The following is a PBE calculation of a relaxed AcGe2As crystal, from Alexandria via LeMat-Bulk.

Computed properties:
Theoretical density = 7.7 g/cm3
N(E_F) = 0.654 states/eV/atom

CIF file:
```
data_AcGe2As
_chemical_formula_sum 'Ac1 Ge2 As1'
_cell_length_a 3.8534
_cell_length_b 3.8534
_cell_length_c 6.4801
_cell_angle_alpha 90.00
_cell_angle_beta 90.00
_cell_angle_gamma 90.00
_space_group_name_H-M_alt 'P 1'
_space_group_IT_number 1
loop_
_space_group_symop_operation_xyz
'x,y,z'
loop_
_atom_site_label
_atom_site_type_symbol
_atom_site_fract_x
_atom_site_fract_y
_atom_site_fract_z
As1 As 0.5000 0.5000 0.0000
Ge1 Ge 0.0000 0.0000 0.1923
Ac1 Ac 0.5000 0.5000 0.5000
Ge2 Ge 0.0000 0.0000 0.8077
```

---

(two)
The following is a PBE calculation of a relaxed AcGe2As crystal, from Alexandria via LeMat-Bulk.

Computed properties:
Theoretical density = 7.3 g/cm3
N(E_F) = 0.252 states/eV/atom

CIF file:
```
data_AcGe2As
_chemical_formula_sum 'Ac1 Ge2 As1'
_cell_length_a 4.7309
_cell_length_b 4.7309
_cell_length_c 5.9155
_cell_angle_alpha 66.43
_cell_angle_beta 66.43
_cell_angle_gamma 60.00
_space_group_name_H-M_alt 'P 1'
_space_group_IT_number 1
loop_
_space_group_symop_operation_xyz
'x,y,z'
loop_
_atom_site_label
_atom_site_type_symbol
_atom_site_fract_x
_atom_site_fract_y
_atom_site_fract_z
Ge1 Ge 0.2953 0.2953 0.1142
Ge2 Ge 0.7047 0.7047 0.8858
Ac1 Ac 0.5000 0.5000 0.5000
As1 As 0.0000 0.0000 0.0000
```

---

Which one sits at the bottom of the stability order? (one) does.